Below is a relaxed structure of TbTh2UN4, with properties calculated at the PBE-GGA level.

a = 3.553 Å, b = 6.113 Å, c = 6.198 Å
α = 109.12°, β = 90.00°, γ = 90.00°
Fractional positions:
Tb 0.500 0.500 0.000
Th 0.500 0.000 0.500
Th 0.000 0.500 0.500
U 0.000 0.000 0.000
N 0.500 0.231 0.221
N 0.500 0.769 0.779
N 0.000 0.239 0.773
N 0.000 0.761 0.227

Computed properties:
energy relative to the elements, uncorrected	-12.17	eV/f.u.
crystal system	monoclinic

Below is a relaxed structure of Tb3Th2UN6, with properties calculated at the PBE-GGA level.

a = 6.149 Å, b = 6.149 Å, c = 6.111 Å
α = 99.62°, β = 99.62°, γ = 120.00°
Fractional positions:
Tb 0.166 0.834 0.500
Tb 0.834 0.166 0.500
Tb 0.500 0.500 0.500
Th 0.333 0.667 0.000
Th 0.667 0.333 0.000
U 0.000 0.000 0.000
N 0.920 0.608 0.759
N 0.770 0.770 0.240
N 0.080 0.392 0.241
N 0.608 0.920 0.759
N 0.230 0.230 0.760
N 0.392 0.080 0.241

Computed properties:
energy relative to the elements, uncorrected	-18.82	eV/f.u.
crystal system	monoclinic

Below is a relaxed structure of Tb2Th3UN6, with properties calculated at the PBE-GGA level.

a = 6.134 Å, b = 6.134 Å, c = 6.219 Å
α = 99.49°, β = 99.49°, γ = 119.92°
Fractional positions:
Tb 0.333 0.667 0.000
Tb 0.667 0.333 0.000
Th 0.168 0.832 0.500
Th 0.832 0.168 0.500
Th 0.500 0.500 0.500
U 0.000 0.000 0.000
N 0.925 0.612 0.775
N 0.764 0.764 0.231
N 0.075 0.388 0.225
N 0.612 0.925 0.775
N 0.236 0.236 0.769
N 0.388 0.075 0.225

Computed properties:
energy relative to the elements, uncorrected	-18.73	eV/f.u.
crystal system	monoclinic

Below is a relaxed structure of TbYThN3, with properties calculated at the PBE-GGA level.

a = 3.414 Å, b = 6.258 Å, c = 10.013 Å
α = 93.75°, β = 90.00°, γ = 90.00°
Fractional positions:
Tb 0.250 0.206 0.592
Tb 0.750 0.794 0.408
Y 0.250 0.698 0.091
Y 0.750 0.302 0.909
Th 0.750 0.789 0.757
Th 0.250 0.211 0.243
N 0.250 0.817 0.564
N 0.750 0.934 0.177
N 0.750 0.429 0.137
N 0.750 0.183 0.436
N 0.250 0.571 0.863
N 0.250 0.066 0.823

Computed properties:
energy relative to the elements, uncorrected	-8.08	eV/f.u.
crystal system	monoclinic

Below is a relaxed structure of Tb3YTh2N6, with properties calculated at the PBE-GGA level.

a = 3.563 Å, b = 7.110 Å, c = 7.940 Å
α = 102.81°, β = 102.96°, γ = 90.00°
Fractional positions:
Tb 0.500 0.500 0.000
Tb 0.836 0.166 0.673
Tb 0.164 0.834 0.327
Y 0.500 0.000 0.000
Th 0.835 0.672 0.670
Th 0.165 0.328 0.330
N 0.335 0.919 0.670
N 0.665 0.584 0.331
N 0.665 0.081 0.330
N 0.001 0.249 0.001
N 0.999 0.751 0.999
N 0.335 0.416 0.669

Computed properties:
energy relative to the elements, uncorrected	-19.71	eV/f.u.
crystal system	monoclinic

Below is a relaxed structure of TbThZr2N4, with properties calculated at the PBE-GGA level.

a = 4.856 Å, b = 4.856 Å, c = 5.934 Å
α = 114.15°, β = 114.15°, γ = 90.00°
Fractional positions:
Tb 0.500 0.500 0.000
Th 0.750 0.250 0.500
Zr 0.250 0.750 0.500
Zr 0.000 0.000 0.000
N 0.007 0.507 0.014
N 0.493 0.993 0.986
N 0.756 0.756 0.511
N 0.244 0.244 0.489

Computed properties:
energy relative to the elements, uncorrected	-12.61	eV/f.u.
crystal system	tetragonal

Below is a relaxed structure of TbThZrN3, with properties calculated at the PBE-GGA level.

a = 3.360 Å, b = 6.419 Å, c = 9.924 Å
α = 94.05°, β = 90.00°, γ = 90.00°
Fractional positions:
Tb 0.250 0.677 0.108
Tb 0.750 0.323 0.892
Th 0.750 0.801 0.757
Th 0.250 0.199 0.243
Zr 0.250 0.171 0.583
Zr 0.750 0.829 0.417
N 0.250 0.818 0.559
N 0.750 0.908 0.198
N 0.750 0.396 0.126
N 0.750 0.182 0.441
N 0.250 0.604 0.874
N 0.250 0.092 0.802

Computed properties:
energy relative to the elements, uncorrected	-7.78	eV/f.u.
crystal system	monoclinic

Below is a relaxed structure of Tb2TiN, with properties calculated at the PBE-GGA level.

a = 3.375 Å, b = 3.375 Å, c = 8.989 Å
α = 79.18°, β = 79.18°, γ = 60.00°
Fractional positions:
N 0.500 0.500 0.500
Tb 0.114 0.114 0.657
Tb 0.886 0.886 0.343
Ti 0.000 0.000 0.000

Computed properties:
energy relative to the elements, uncorrected	-1.62	eV/f.u.
crystal system	trigonal

Below is a relaxed structure of TbTi4N6, with properties calculated at the PBE-GGA level.

a = 3.037 Å, b = 5.224 Å, c = 15.476 Å
α = 90.00°, β = 90.00°, γ = 106.90°
Fractional positions:
Tb 0.652 0.304 0.250
Tb 0.348 0.696 0.750
Ti 0.870 0.740 0.549
Ti 0.394 0.787 0.133
Ti 0.130 0.260 0.451
Ti 0.606 0.213 0.867
Ti 0.870 0.740 0.951
Ti 0.130 0.260 0.049
Ti 0.606 0.213 0.633
Ti 0.394 0.787 0.367
N 0.500 0.000 0.000
N 0.500 0.000 0.500
N 0.034 0.068 0.344
N 0.966 0.932 0.656
N 0.966 0.932 0.844
N 0.034 0.068 0.156
N 0.767 0.535 0.416
N 0.233 0.465 0.584
N 0.233 0.465 0.916
N 0.767 0.535 0.084
N 0.330 0.660 0.250
N 0.670 0.340 0.750

Computed properties:
energy relative to the elements, uncorrected	-17.27	eV/f.u.
crystal system	orthorhombic

Below is a relaxed structure of TbTi2N, with properties calculated at the PBE-GGA level.

a = 3.103 Å, b = 3.103 Å, c = 8.449 Å
α = 79.42°, β = 79.42°, γ = 60.00°
Fractional positions:
N 0.500 0.500 0.500
Tb 0.000 0.000 0.000
Ti 0.123 0.123 0.631
Ti 0.877 0.877 0.369

Computed properties:
energy relative to the elements, uncorrected	-2.67	eV/f.u.
crystal system	trigonal

Below is a relaxed structure of Tb3Ti5N12, with properties calculated at the PBE-GGA level.

a = 11.008 Å, b = 11.008 Å, c = 11.008 Å
α = 109.47°, β = 109.47°, γ = 109.47°
Fractional positions:
Tb 0.750 0.375 0.125
Tb 0.875 0.750 0.125
Tb 0.375 0.750 0.625
Tb 0.250 0.125 0.375
Tb 0.875 0.125 0.250
Tb 0.375 0.625 0.250
Tb 0.625 0.375 0.750
Tb 0.125 0.875 0.750
Tb 0.750 0.875 0.625
Tb 0.625 0.250 0.375
Tb 0.125 0.250 0.875
Tb 0.250 0.625 0.875
Ti 0.125 0.375 0.250
Ti 0.000 0.500 0.000
Ti 0.000 0.000 0.000
Ti 0.375 0.250 0.125
Ti 0.500 0.000 0.500
Ti 0.500 0.500 0.000
Ti 0.125 0.750 0.375
Ti 0.750 0.125 0.875
Ti 0.750 0.625 0.375
Ti 0.375 0.125 0.750
Ti 0.625 0.875 0.250
Ti 0.500 0.500 0.500
Ti 0.500 0.000 0.000
Ti 0.000 0.000 0.500
Ti 0.250 0.375 0.625
Ti 0.250 0.875 0.125
Ti 0.000 0.500 0.500
Ti 0.875 0.250 0.625
Ti 0.625 0.750 0.875
Ti 0.875 0.625 0.750
N 0.706 0.120 0.027
N 0.321 0.527 0.408
N 0.973 0.380 0.294
N 0.527 0.206 0.120
N 0.587 0.706 0.679
N 0.973 0.592 0.179
N 0.321 0.794 0.413
N 0.092 0.913 0.120
N 0.592 0.973 0.679
N 0.706 0.587 0.179
N 0.794 0.473 0.380
N 0.821 0.908 0.027
N 0.120 0.706 0.527
N 0.380 0.408 0.087
N 0.087 0.908 0.380
N 0.413 0.120 0.592
N 0.087 0.179 0.206
N 0.473 0.679 0.092
N 0.821 0.913 0.294
N 0.120 0.413 0.092
N 0.380 0.973 0.794
N 0.592 0.620 0.413
N 0.908 0.821 0.527
N 0.794 0.321 0.913
N 0.408 0.380 0.587
N 0.092 0.179 0.473
N 0.206 0.679 0.087
N 0.179 0.087 0.706
N 0.620 0.027 0.206
N 0.880 0.587 0.908
N 0.527 0.321 0.908
N 0.587 0.880 0.408
N 0.913 0.821 0.794
N 0.913 0.092 0.620
N 0.880 0.294 0.473
N 0.179 0.092 0.973
N 0.620 0.592 0.913
N 0.408 0.027 0.321
N 0.294 0.413 0.821
N 0.206 0.527 0.620
N 0.908 0.087 0.880
N 0.679 0.206 0.587
N 0.473 0.794 0.880
N 0.027 0.408 0.821
N 0.413 0.294 0.321
N 0.027 0.620 0.706
N 0.679 0.473 0.592
N 0.294 0.880 0.973

Computed properties:
energy relative to the elements, uncorrected	-15.49	eV/f.u.
crystal system	cubic

Below is a relaxed structure of TbTm2TiN4, with properties calculated at the PBE-GGA level.

a = 3.341 Å, b = 5.990 Å, c = 11.758 Å
α = 90.00°, β = 90.00°, γ = 106.20°
Fractional positions:
Tb 0.104 0.208 0.750
Tb 0.896 0.792 0.250
Tm 0.370 0.741 0.538
Tm 0.630 0.259 0.038
Tm 0.630 0.259 0.462
Tm 0.370 0.741 0.962
Ti 0.840 0.681 0.750
Ti 0.160 0.319 0.250
N 0.263 0.525 0.124
N 0.737 0.475 0.624
N 0.737 0.475 0.876
N 0.263 0.525 0.376
N 0.000 0.000 0.500
N 0.000 0.000 0.000
N 0.444 0.887 0.750
N 0.556 0.113 0.250

Computed properties:
energy relative to the elements, uncorrected	-12.15	eV/f.u.
crystal system	orthorhombic

Below is a relaxed structure of TbYTiN3, with properties calculated at the PBE-GGA level.

a = 3.282 Å, b = 6.518 Å, c = 9.242 Å
α = 91.84°, β = 90.00°, γ = 90.00°
Fractional positions:
Tb 0.750 0.819 0.761
Tb 0.250 0.181 0.239
Y 0.250 0.659 0.117
Y 0.750 0.341 0.883
Ti 0.250 0.138 0.574
Ti 0.750 0.862 0.426
N 0.250 0.818 0.542
N 0.750 0.883 0.215
N 0.750 0.386 0.130
N 0.750 0.182 0.458
N 0.250 0.614 0.870
N 0.250 0.117 0.785

Computed properties:
energy relative to the elements, uncorrected	-8.11	eV/f.u.
crystal system	monoclinic

Below is a relaxed structure of TbZr2TiN4, with properties calculated at the PBE-GGA level.

a = 6.527 Å, b = 6.527 Å, c = 6.506 Å
α = 119.89°, β = 119.89°, γ = 89.94°
Fractional positions:
Tb 0.000 0.500 0.000
Tb 0.000 0.500 0.500
Zr 0.500 0.000 0.000
Zr 0.500 0.000 0.500
Zr 0.000 0.000 0.500
Zr 0.500 0.500 0.000
Ti 0.500 0.500 0.500
Ti 0.000 0.000 0.000
N 0.258 0.766 0.012
N 0.734 0.242 0.488
N 0.266 0.758 0.512
N 0.742 0.234 0.988
N 0.744 0.756 0.992
N 0.744 0.756 0.508
N 0.256 0.244 0.492
N 0.256 0.244 0.008

Computed properties:
energy relative to the elements, uncorrected	-12.83	eV/f.u.
crystal system	orthorhombic

Below is a relaxed structure of TbZrTiN3, with properties calculated at the PBE-GGA level.

a = 3.321 Å, b = 6.780 Å, c = 9.219 Å
α = 109.92°, β = 90.00°, γ = 90.00°
Fractional positions:
Tb 0.750 0.801 0.863
Tb 0.250 0.199 0.137
Zr 0.250 0.678 0.135
Zr 0.750 0.322 0.865
Ti 0.250 0.000 0.622
Ti 0.750 0.000 0.378
N 0.250 0.851 0.391
N 0.750 0.926 0.136
N 0.750 0.443 0.125
N 0.750 0.149 0.609
N 0.250 0.557 0.875
N 0.250 0.074 0.864

Computed properties:
energy relative to the elements, uncorrected	-8.14	eV/f.u.
crystal system	monoclinic

Below is a relaxed structure of Tb4Tl5N, with properties calculated at the PBE-GGA level.

a = 3.635 Å, b = 8.698 Å, c = 8.792 Å
α = 99.77°, β = 101.93°, γ = 90.00°
Fractional positions:
Tb 0.646 0.047 0.292
Tb 0.002 0.186 0.005
Tb 0.354 0.953 0.708
Tb 0.998 0.814 0.995
Tl 0.178 0.383 0.356
Tl 0.173 0.738 0.346
Tl 0.827 0.262 0.654
Tl 0.500 0.500 0.000
Tl 0.822 0.617 0.644
N 0.500 0.000 0.000

Computed properties:
energy relative to the elements, uncorrected	-4.17	eV/f.u.
crystal system	monoclinic

Below is a relaxed structure of Tb3Tl2N, with properties calculated at the PBE-GGA level.

a = 5.647 Å, b = 7.049 Å, c = 8.106 Å
α = 102.83°, β = 110.39°, γ = 90.00°
Fractional positions:
Tb 0.497 0.250 0.000
Tb 0.503 0.750 0.000
Tb 0.106 0.056 0.215
Tb 0.891 0.444 0.785
Tb 0.109 0.556 0.215
Tb 0.894 0.944 0.785
Tl 0.702 0.595 0.402
Tl 0.699 0.095 0.402
Tl 0.301 0.905 0.598
Tl 0.298 0.405 0.598
N 0.995 0.750 0.000
N 0.005 0.250 0.000

Computed properties:
energy relative to the elements, uncorrected	-3.73	eV/f.u.
crystal system	monoclinic

Below is a relaxed structure of Tb6Tl2N, with properties calculated at the PBE-GGA level.

a = 3.543 Å, b = 9.157 Å, c = 8.836 Å
α = 121.21°, β = 90.00°, γ = 90.00°
Fractional positions:
Tb 0.500 0.602 0.000
Tb 0.500 0.433 0.409
Tb 0.500 0.023 0.591
Tb 0.000 0.259 0.000
Tb 0.000 0.794 0.789
Tb 0.000 0.005 0.211
Tl 0.000 0.347 0.657
Tl 0.000 0.690 0.343
N 0.500 0.848 0.000

Computed properties:
energy relative to the elements, uncorrected	-3.67	eV/f.u.
crystal system	orthorhombic
energy relative to the lowest polymorph listed for this composition	158	meV/atom